(1)
The following is a GGA-PBE calculation of a relaxed structure of In2OsRh, from Alexandria.

abc: 2.958 4.123 5.761
angles: 90.00 90.00 90.00
Element x y z (fractional)
In1 0.000 0.000 0.966
In2 0.500 0.500 0.285
Rh1 0.500 0.500 0.764
Os1 0.000 0.000 0.485

Summary:
Symmetry: No. 25
Magnetic moment: 0.000 μB per atom
Electronic total energy: -5.730 eV per atom

(2)
The following is a GGA-PBE calculation of a relaxed structure of HoTiAu2, from Alexandria.

abc: 3.420 3.420 6.892
angles: 90.00 90.00 90.00
Element x y z (fractional)
Ti1 0.500 0.500 0.000
Au1 0.000 0.000 0.221
Au2 0.000 0.000 0.779
Ho1 0.500 0.500 0.500

Summary:
Symmetry: No. 123
Magnetic moment: 0.298 μB per atom
Electronic total energy: -5.309 eV per atom

D(E_F) list, top to bottom, in states/eV per cell: 3.72 3.41
ΔE_f list, top to bottom, in meV per atom: 285 -552